Record 1
{
  "formula": "SmNi4Sb2",
  "functional": "PBE",
  "state": "relaxed",
  "rho_g_cm3": 8.89,
  "e_form_raw_ev_per_atom": -0.415,
  "total_energy_ev_per_atom": -5.57,
  "lattice": [[-2.417, 2.462, -2.115], [-0.314, -5.134, -5.618], [-6.101, -3.192, 3.258]],
  "species": ["Sm", "Sm", "Ni", "Ni", "Ni", "Ni", "Ni", "Ni", "Ni", "Ni", "Sb", "Sb", "Sb", "Sb"],
  "frac_coords": [[0.500, 0.000, 0.000], [0.000, 0.500, 0.500], [0.000, 0.090, 0.361], [0.000, 0.910, 0.639], [0.500, 0.139, 0.590], [0.500, 0.861, 0.410], [0.500, 0.410, 0.861], [0.500, 0.590, 0.139], [0.000, 0.361, 0.090], [0.000, 0.639, 0.910], [0.000, 0.218, 0.782], [0.000, 0.782, 0.218], [0.500, 0.718, 0.718], [0.500, 0.282, 0.282]]
}

=====

Record 2
{
  "formula": "SmNiSb3",
  "functional": "PBE",
  "state": "relaxed",
  "rho_g_cm3": 7.93,
  "e_form_raw_ev_per_atom": -0.606,
  "total_energy_ev_per_atom": -5.18,
  "e_above_lowest_polymorph_mev_per_atom": 0,
  "lattice": [[-4.359, 4.027, -2.013], [-7.615, -3.610, 9.271], [7.041, 13.053, 10.867]],
  "species": ["Sm", "Sm", "Sm", "Sm", "Sm", "Sm", "Sm", "Sm", "Sm", "Sm", "Sm", "Sm", "Ni", "Ni", "Ni", "Ni", "Ni", "Ni", "Ni", "Ni", "Ni", "Ni", "Ni", "Ni", "Sb", "Sb", "Sb", "Sb", "Sb", "Sb", "Sb", "Sb", "Sb", "Sb", "Sb", "Sb", "Sb", "Sb", "Sb", "Sb", "Sb", "Sb", "Sb", "Sb", "Sb", "Sb", "Sb", "Sb", "Sb", "Sb", "Sb", "Sb", "Sb", "Sb", "Sb", "Sb", "Sb", "Sb", "Sb", "Sb"],
  "frac_coords": [[0.528, 0.700, 0.416], [0.939, 0.306, 0.750], [0.561, 0.306, 0.250], [0.972, 0.700, 0.916], [0.028, 0.300, 0.416], [0.061, 0.694, 0.250], [0.472, 0.300, 0.916], [0.472, 0.300, 0.584], [0.528, 0.700, 0.084], [0.972, 0.700, 0.584], [0.028, 0.300, 0.084], [0.439, 0.694, 0.750], [0.750, 0.105, 0.500], [0.675, 0.898, 0.676], [0.325, 0.102, 0.176], [0.250, 0.895, 0.500], [0.825, 0.898, 0.324], [0.175, 0.102, 0.676], [0.325, 0.102, 0.324], [0.825, 0.898, 0.176], [0.175, 0.102, 0.824], [0.750, 0.105, 0.000], [0.250, 0.895, 0.000], [0.675, 0.898, 0.824], [0.960, 0.974, 0.587], [0.460, 0.026, 0.913], [0.026, 0.771, 0.084], [0.974, 0.229, 0.916], [0.054, 0.226, 0.250], [0.797, 0.504, 0.166], [0.750, 0.496, 0.500], [0.750, 0.496, 0.000], [0.040, 0.026, 0.087], [0.026, 0.771, 0.416], [0.297, 0.496, 0.334], [0.203, 0.496, 0.666], [0.317, 0.942, 0.750], [0.474, 0.771, 0.584], [0.183, 0.942, 0.250], [0.683, 0.058, 0.250], [0.526, 0.229, 0.416], [0.446, 0.226, 0.750], [0.703, 0.504, 0.666], [0.540, 0.974, 0.087], [0.703, 0.504, 0.834], [0.946, 0.774, 0.750], [0.250, 0.504, 0.500], [0.250, 0.504, 0.000], [0.474, 0.771, 0.916], [0.297, 0.496, 0.166], [0.203, 0.496, 0.834], [0.460, 0.026, 0.587], [0.040, 0.026, 0.413], [0.526, 0.229, 0.084], [0.797, 0.504, 0.334], [0.817, 0.058, 0.750], [0.974, 0.229, 0.584], [0.554, 0.774, 0.250], [0.960, 0.974, 0.913], [0.540, 0.974, 0.413]]
}

=====

Record 3
{
  "formula": "SmNiSb",
  "functional": "PBE",
  "state": "relaxed",
  "rho_g_cm3": 8.23,
  "e_form_raw_ev_per_atom": -0.825,
  "total_energy_ev_per_atom": -5.70,
  "lattice": [[4.363, 0.000, 0.000], [-2.182, 3.779, 0.000], [0.000, 0.000, 8.098]],
  "species": ["Sb", "Sb", "Sm", "Sm", "Ni", "Ni"],
  "frac_coords": [[0.667, 0.333, 0.250], [0.333, 0.667, 0.750], [0.000, 0.000, 0.500], [0.000, 0.000, 0.000], [0.333, 0.667, 0.250], [0.667, 0.333, 0.750]]
}

=====

Record 4
{
  "formula": "Sm5Ni2Sb",
  "functional": "PBE",
  "state": "relaxed",
  "rho_g_cm3": 7.92,
  "e_form_raw_ev_per_atom": -0.481,
  "total_energy_ev_per_atom": -5.39,
  "lattice": [[7.116, 0.000, -3.359], [-1.586, 6.937, -3.359], [-0.240, -0.302, 8.707]],
  "species": ["Sm", "Sm", "Sm", "Sm", "Sm", "Sm", "Sm", "Sm", "Sm", "Sm", "Ni", "Ni", "Ni", "Ni", "Sb", "Sb"],
  "frac_coords": [[0.519, 0.706, 0.725], [0.794, 0.981, 0.275], [0.000, 0.000, 0.000], [0.500, 0.500, 0.000], [0.206, 0.019, 0.725], [0.706, 0.206, 0.725], [0.019, 0.519, 0.725], [0.294, 0.794, 0.275], [0.981, 0.481, 0.275], [0.481, 0.294, 0.275], [0.129, 0.371, 0.000], [0.629, 0.129, 0.000], [0.371, 0.871, 0.000], [0.871, 0.629, 0.000], [0.750, 0.750, 0.500], [0.250, 0.250, 0.500]]
}

=====

Record 5
{
  "formula": "Sm2ZnNi4Sb3",
  "functional": "PBE",
  "state": "relaxed",
  "rho_g_cm3": 8.52,
  "e_form_raw_ev_per_atom": -0.626,
  "total_energy_ev_per_atom": -5.25,
  "lattice": [[-2.478, -0.992, -3.375], [-3.126, -1.273, 2.669], [-3.815, 9.430, 0.030]],
  "species": ["Sm", "Sm", "Zn", "Ni", "Ni", "Ni", "Ni", "Sb", "Sb", "Sb"],
  "frac_coords": [[0.500, 0.000, 0.247], [0.000, 0.500, 0.753], [0.500, 0.500, 0.500], [0.500, 0.500, 0.000], [0.000, 0.000, 0.000], [0.500, 0.000, 0.624], [0.000, 0.500, 0.376], [0.000, 0.000, 0.500], [0.500, 0.000, 0.867], [0.000, 0.500, 0.133]]
}

=====

Record 6
{
  "formula": "Ni12Sn3Sb",
  "functional": "PBE",
  "state": "relaxed",
  "rho_g_cm3": 9.45,
  "e_form_raw_ev_per_atom": -0.181,
  "total_energy_ev_per_atom": -5.53,
  "lattice": [[3.731, 0.000, 0.000], [0.000, 3.731, 0.000], [0.000, 0.000, 14.925]],
  "species": ["Ni", "Ni", "Ni", "Ni", "Ni", "Ni", "Ni", "Ni", "Ni", "Ni", "Ni", "Ni", "Sn", "Sn", "Sn", "Sb"],
  "frac_coords": [[0.500, 0.500, 0.000], [0.500, 0.500, 0.249], [0.500, 0.500, 0.500], [0.500, 0.500, 0.751], [0.500, 0.000, 0.124], [0.500, 0.000, 0.375], [0.500, 0.000, 0.625], [0.500, 0.000, 0.876], [0.000, 0.500, 0.124], [0.000, 0.500, 0.375], [0.000, 0.500, 0.625], [0.000, 0.500, 0.876], [0.000, 0.000, 0.251], [0.000, 0.000, 0.500], [0.000, 0.000, 0.749], [0.000, 0.000, 0.000]]
}